No. 1
A plane-wave DFT calculation with PBE was carried out for an optimized crystal structure of CePm5Y6.

The calculation puts the total magnetization at 1.12 μB/f.u. The total energy is -5.673 eV per atom. The calculation puts the formation enthalpy at 0 K at 3.18 kJ/mol of atoms.

The structure in CIF format:
```
data_CePm5Y6
_chemical_formula_sum 'Ce2 Pm10 Y12'
_cell_length_a 6.257
_cell_length_b 10.834
_cell_length_c 11.871
_cell_angle_alpha 90.00
_cell_angle_beta 100.10
_cell_angle_gamma 90.00
_symmetry_space_group_name_H-M 'C 1 2/m 1'
_symmetry_Int_Tables_number 12
_symmetry_space_group_name_Hall '-C 2y'
loop_
_atom_site_label
_atom_site_type_symbol
_atom_site_fract_x
_atom_site_fract_y
_atom_site_fract_z
Ce1 Ce 0.000 0.000 0.000
Pm1 Pm 0.000 0.167 0.500
Pm2 Pm 0.000 0.333 0.000
Pm3 Pm 0.000 0.500 0.500
Y1 Y 0.248 0.000 0.751
Y2 Y 0.249 0.166 0.249
```

No. 2
A plane-wave DFT calculation with PBE was carried out for an optimized crystal structure of CePm8Y2.

The calculation puts the total magnetization at 0.93 μB/f.u. The total energy is -5.132 eV per atom. The calculation puts the formation enthalpy at 0 K at 3.63 kJ/mol of atoms.

The structure in CIF format:
```
data_CePm8Y2
_chemical_formula_sum 'Ce2 Pm16 Y4'
_cell_length_a 18.502
_cell_length_b 5.132
_cell_length_c 8.108
_cell_angle_alpha 90.00
_cell_angle_beta 105.26
_cell_angle_gamma 90.00
_symmetry_space_group_name_H-M 'C 1 2/m 1'
_symmetry_Int_Tables_number 12
_symmetry_space_group_name_Hall '-C 2y'
loop_
_atom_site_label
_atom_site_type_symbol
_atom_site_fract_x
_atom_site_fract_y
_atom_site_fract_z
Ce1 Ce 0.000 0.000 0.000
Pm1 Pm 0.045 0.500 0.732
Pm2 Pm 0.091 0.000 0.453
Pm3 Pm 0.136 0.500 0.181
Pm4 Pm 0.180 0.000 0.909
Y1 Y 0.228 0.500 0.636
```

No. 3
A plane-wave DFT calculation with PBE was carried out for an optimized crystal structure of CePm4Y15.

The calculation puts the total magnetization at 0.95 μB/f.u. The total energy is -6.063 eV per atom. The calculation puts the formation enthalpy at 0 K at 3.04 kJ/mol of atoms.

The structure in CIF format:
```
data_CePm4Y15
_chemical_formula_sum 'Ce1 Pm4 Y15'
_cell_length_a 5.087
_cell_length_b 5.087
_cell_length_c 25.299
_cell_angle_alpha 90.00
_cell_angle_beta 90.00
_cell_angle_gamma 90.00
_symmetry_space_group_name_H-M 'P 4/m m m'
_symmetry_Int_Tables_number 123
_symmetry_space_group_name_Hall '-P 4 2'
loop_
_atom_site_label
_atom_site_type_symbol
_atom_site_fract_x
_atom_site_fract_y
_atom_site_fract_z
Ce1 Ce 0.000 0.000 0.000
Pm1 Pm 0.000 0.000 0.198
Pm2 Pm 0.000 0.000 0.400
Y1 Y 0.000 0.500 0.098
Y2 Y 0.000 0.500 0.299
Y3 Y 0.000 0.500 0.500
Y4 Y 0.500 0.500 0.000
Y5 Y 0.500 0.500 0.199
Y6 Y 0.500 0.500 0.399
```

No. 4
A plane-wave DFT calculation with PBE was carried out for an optimized crystal structure of CePmY6.

The calculation puts the total magnetization at 1.64 μB/f.u. For the energy relative to the lowest polymorph listed for this composition, the calculation gives 1.32 eV per formula unit. The total energy is -5.969 eV per atom. The calculation puts the formation enthalpy at 0 K at 20.73 kJ/mol of atoms.

The structure in CIF format:
```
data_CePmY6
_chemical_formula_sum 'Ce1 Pm1 Y6'
_cell_length_a 6.572
_cell_length_b 6.645
_cell_length_c 7.523
_cell_angle_alpha 115.12
_cell_angle_beta 115.73
_cell_angle_gamma 90.13
_symmetry_space_group_name_H-M 'P -1'
_symmetry_Int_Tables_number 2
_symmetry_space_group_name_Hall '-P 1'
loop_
_atom_site_label
_atom_site_type_symbol
_atom_site_fract_x
_atom_site_fract_y
_atom_site_fract_z
Ce1 Ce 0.000 0.000 0.000
Pm1 Pm 0.500 0.000 0.000
Y1 Y 0.232 0.919 0.464
Y2 Y 0.249 0.500 0.000
Y3 Y 0.259 0.444 0.519
```

Q: Look up the formation enthalpy at 0 K of the second one.
A: 3.63 kJ/mol of atoms